Entry 1:
TcGe2MoC | PBE-GGA | relaxed

POSCAR file:
```
TcGe2MoC
1.0
-2.2825 2.9624 2.1070
-3.2761 -1.2041 -1.8561
-0.7492 -2.8178 3.1502
Ge C Tc Mo
2 1 1 1
Direct
0.5000 0.0000 0.0000
0.0000 0.0000 0.5000
0.0000 0.0000 0.0000
0.5000 0.5000 0.5000
0.0000 0.5000 0.0000
```

Computed properties:
Mass density (g cm⁻³): 8.01
SG: No. 123
ΔE_f (eV per atom): 0.891

Entry 2:
LiErTmMo | PBE-GGA | relaxed

POSCAR file:
```
LiErTmMo
1.0
4.9698 0.0000 0.0000
2.4849 4.3040 0.0000
2.4849 1.4347 4.0578
Tm Er Li Mo
1 1 1 1
Direct
0.5000 0.5000 0.5000
0.0000 0.0000 0.0000
0.7500 0.7500 0.7500
0.2500 0.2500 0.2500
```

Computed properties:
Mass density (g cm⁻³): 8.40
SG: No. 216
ΔE_f (eV per atom): 0.242

Entry 3:
LiTc3I | PBE-GGA | relaxed

POSCAR file:
```
LiTc3I
1.0
4.3062 0.0000 0.0000
0.0000 4.3062 0.0000
0.0000 0.0000 4.3062
Tc Li I
3 1 1
Direct
0.0000 0.0000 0.5000
0.0000 0.5000 0.0000
0.5000 0.0000 0.0000
0.0000 0.0000 0.0000
0.5000 0.5000 0.5000
```

Computed properties:
Mass density (g cm⁻³): 8.90
SG: No. 221
Energy relative to the elements, uncorrected (meV per atom): 1607
ΔE to the lowest computed polymorph (meV per atom): 0.0

Entry 4:
Nd2ErZr | PBE-GGA | relaxed

POSCAR file:
```
Nd2ErZr
1.0
-0.6176 -2.7639 -2.9314
2.9506 -2.3297 1.5749
-4.9167 -3.3755 4.2185
Nd Er Zr
2 1 1
Direct
0.0000 0.0000 0.2732
0.0000 0.0000 0.7268
0.5000 0.5000 0.0000
0.5000 0.5000 0.5000
```

Computed properties:
Mass density (g cm⁻³): 7.48
SG: No. 123
ΔE_f (eV per atom): 0.170
ΔE to the lowest computed polymorph (meV per atom): 46.9

Entry 5:
Hf2MgB2Ru5 | PBE-GGA | relaxed

POSCAR file:
```
Hf2MgB2Ru5
1.0
-0.2267 -0.3665 3.0748
-7.1937 -5.9296 -1.2372
6.0182 -7.2144 -0.4162
Ru B Mg Hf
10 4 2 4
Direct
0.5000 0.4285 0.2809
0.5000 0.9285 0.2191
0.5000 0.7191 0.4285
0.5000 0.7809 0.9285
0.5000 0.5715 0.7191
0.5000 0.5000 0.0000
0.5000 0.0000 0.5000
0.5000 0.2809 0.5715
0.5000 0.2191 0.0715
0.5000 0.0715 0.7809
0.0000 0.1256 0.6256
0.0000 0.6256 0.8744
0.0000 0.3744 0.1256
0.0000 0.8744 0.3744
0.0000 0.0000 0.0000
0.0000 0.5000 0.5000
0.0000 0.6760 0.1760
0.0000 0.3240 0.8240
0.0000 0.8240 0.6760
0.0000 0.1760 0.3240
```

Computed properties:
Mass density (g cm⁻³): 10.98
SG: No. 127
ΔE_f (eV per atom): -0.524

Entry 6:
Cs2VSn | PBE-GGA | relaxed

POSCAR file:
```
Cs2VSn
1.0
2.1501 -3.5056 -4.5930
3.4890 -4.9254 1.2550
-2.2527 -5.6737 -0.8617
Cs Sn V
2 1 1
Direct
0.7500 0.7500 0.7500
0.2500 0.2500 0.2500
0.5000 0.5000 0.5000
0.0000 0.0000 0.0000
```

Computed properties:
Mass density (g cm⁻³): 4.36
SG: No. 225
ΔE_f (eV per atom): 1.416
ΔE to the lowest computed polymorph (meV per atom): 881.3

Entry 7:
PmGdHoPu | PBE-GGA | relaxed

POSCAR file:
```
PmGdHoPu
1.0
-2.9770 3.8348 2.8542
-4.4620 -1.5942 3.0437
0.2361 0.1317 5.6251
Pu Ho Pm Gd
1 1 1 1
Direct
0.2500 0.2500 0.2500
0.7500 0.7500 0.7500
0.0000 0.0000 0.0000
0.5000 0.5000 0.5000
```

Computed properties:
Mass density (g cm⁻³): 9.35
SG: No. 216
ΔE_f (eV per atom): 0.194

Entry 8:
Ni19Ge12 | PBE-GGA | relaxed

POSCAR file:
```
Ni19Ge12
1.0
6.7308 -0.0027 0.0025
3.3742 5.8240 0.0025
0.0138 0.0080 10.0794
Ni Ge
19 12
Direct
0.0224 0.3310 0.3761
0.3334 0.3341 0.7481
0.6499 0.0066 0.3767
0.0005 0.6601 0.9998
0.3387 0.6529 0.1259
0.0012 0.9968 0.2574
0.3248 0.6528 0.3771
0.9950 0.3267 0.1259
0.6723 0.3277 0.5000
0.0032 0.9988 0.7426
0.3472 0.6752 0.6229
0.6659 0.6666 0.2519
0.3399 0.9995 0.0002
0.3471 0.6613 0.8741
0.9841 0.3346 0.8745
0.6690 0.9776 0.6239
0.9934 0.3501 0.6233
0.6654 0.0159 0.1255
0.6733 0.0050 0.8741
0.9776 0.0224 0.0000
0.6361 0.3325 0.2520
0.6711 0.6802 0.4970
0.0313 0.6322 0.2491
0.0232 0.9768 0.5000
0.9690 0.6663 0.7508
0.3337 0.0310 0.2492
0.6675 0.3639 0.7480
0.3678 0.9687 0.7509
0.6670 0.6308 0.0016
0.3198 0.3289 0.5030
0.3692 0.3330 0.9984
```

Computed properties:
Mass density (g cm⁻³): 8.35
SG: No. 5
ΔE_f (eV per atom): -0.314

Entry 9:
RbYPdO3 | PBE-GGA | relaxed

POSCAR file:
```
RbYPdO3
1.0
3.8344 0.0000 0.0000
-1.9172 7.2138 0.0000
0.0000 0.0000 8.5620
O Rb Y Pd
6 2 2 2
Direct
0.4022 0.8045 0.9951
0.5978 0.1955 0.4951
0.0526 0.1052 0.2500
0.9474 0.8948 0.7500
0.4022 0.8045 0.5049
0.5978 0.1955 0.0049
0.2808 0.5615 0.2500
0.7192 0.4385 0.7500
0.0000 0.0000 0.5000
0.0000 0.0000 0.0000
0.4078 0.8155 0.7500
0.5922 0.1845 0.2500
```

Computed properties:
Mass density (g cm⁻³): 4.61
SG: No. 63
Energy relative to the elements, uncorrected (meV per atom): -1809

Entry 10:
BeMoPd | PBE-GGA | relaxed

POSCAR file:
```
BeMoPd
1.0
4.0518 0.0000 0.0000
0.0000 4.1896 -0.0022
0.0000 -2.0930 4.6126
Mo Be Pd
2 2 2
Direct
0.2588 0.4046 0.1120
0.7588 0.2391 0.7810
0.2586 0.0740 0.4510
0.7587 0.5694 0.4421
0.2589 0.7130 0.7287
0.7588 0.9308 0.1643
```

Computed properties:
Mass density (g cm⁻³): 8.97
SG: No. 63
ΔE_f (eV per atom): -0.155
ΔE to the lowest computed polymorph (meV per atom): 84.4

Entry 11:
ZrTiPtW | PBE-GGA | relaxed

POSCAR file:
```
ZrTiPtW
1.0
4.5981 0.0000 0.0000
2.2990 3.9821 0.0000
2.2990 1.3274 3.7543
Zr Ti W Pt
1 1 1 1
Direct
0.0000 0.0000 0.0000
0.5000 0.5000 0.5000
0.7500 0.7500 0.7500
0.2500 0.2500 0.2500
```

Computed properties:
Mass density (g cm⁻³): 12.51
SG: No. 216
ΔE_f (eV per atom): -0.430

Entry 12:
AgW2 | PBE-GGA | relaxed

POSCAR file:
```
AgW2
1.0
-3.8556 5.2251 4.8077
1.4863 -6.4124 -4.6854
1.4276 -2.4556 3.8136
Ag W
2 4
Direct
0.2205 0.7795 0.2500
0.7795 0.2205 0.7500
0.1102 0.8898 0.7500
0.4498 0.5502 0.7500
0.5502 0.4498 0.2500
0.8898 0.1102 0.2500
```

Computed properties:
Mass density (g cm⁻³): 15.71
SG: No. 63
ΔE_f (eV per atom): 0.502
ΔE to the lowest computed polymorph (meV per atom): 0.0

Entry 13:
PmEr12Tl6 | PBE-GGA | relaxed

POSCAR file:
```
PmEr12Tl6
1.0
8.8382 0.0496 0.0699
-2.1428 8.5746 0.0699
-2.1428 -2.7601 8.1186
Er Tl Pm
12 6 1
Direct
0.1293 0.8707 0.5000
0.8178 0.5528 0.5528
0.5000 0.8707 0.1293
0.1822 0.4472 0.4472
0.4472 0.4472 0.1822
0.1293 0.5000 0.8707
0.4472 0.1822 0.4472
0.5528 0.5528 0.8178
0.8707 0.1293 0.5000
0.5528 0.8178 0.5528
0.8707 0.5000 0.1293
0.5000 0.1293 0.8707
0.6911 0.2372 0.2372
0.2372 0.6911 0.2372
0.7628 0.7628 0.3089
0.7628 0.3089 0.7628
0.2372 0.2372 0.6911
0.3089 0.7628 0.7628
0.0000 0.0000 0.0000
```

Computed properties:
Mass density (g cm⁻³): 9.06
SG: No. 166
ΔE_f (eV per atom): 0.007

Entry 14:
HfIn3Cu8 | PBE-GGA | relaxed

POSCAR file:
```
HfIn3Cu8
1.0
-3.5055 -2.6439 -2.4023
4.5870 0.4320 -1.9551
2.3950 -6.8963 4.0950
Cu In Hf
8 3 1
Direct
0.9989 0.4995 0.7466
0.5005 0.0011 0.7466
0.5005 0.4995 0.7466
0.6720 0.8360 0.2532
0.1640 0.3280 0.2532
0.3333 0.6667 0.0036
0.3333 0.6667 0.4981
0.1640 0.8360 0.2532
0.6667 0.3333 0.4394
0.6667 0.3333 0.0624
0.0000 0.0000 0.9307
0.0000 0.0000 0.5665
```

Computed properties:
Mass density (g cm⁻³): 9.43
SG: No. 156
ΔE_f (eV per atom): -0.062
ΔE to the lowest computed polymorph (meV per atom): 16.0

Entry 15:
K2ClF2 | PBE-GGA | relaxed

POSCAR file:
```
K2ClF2
1.0
4.2214 0.0000 0.0000
0.0000 4.2214 0.0000
2.1107 2.1107 7.0692
K F Cl
2 2 1
Direct
0.6436 0.6436 0.7128
0.3564 0.3564 0.2872
0.7500 0.2500 0.5000
0.2500 0.7500 0.5000
0.0000 0.0000 0.0000
```

Computed properties:
Mass density (g cm⁻³): 2.00
SG: No. 139
Energy relative to the elements, uncorrected (meV per atom): -1867
ΔE to the lowest computed polymorph (meV per atom): 131.9

Entry 16:
Tb5Pm3Ho | PBE-GGA | relaxed

POSCAR file:
```
Tb5Pm3Ho
1.0
9.4078 -0.0767 1.6315
2.5016 9.0695 1.6315
5.6200 4.2436 9.3102
Pm Ho Tb
6 2 10
Direct
0.3049 0.3049 0.1875
0.3386 0.3386 0.6419
0.6951 0.6951 0.8125
0.0000 0.0000 0.0000
0.0000 0.0000 0.5000
0.6614 0.6614 0.3581
0.8467 0.8467 0.4014
0.1533 0.1533 0.5986
0.2557 0.7443 0.0000
0.6597 0.1571 0.7470
0.8429 0.3403 0.2530
0.5062 0.5062 0.7722
0.8172 0.8172 0.9593
0.1828 0.1828 0.0407
0.1571 0.6597 0.7470
0.3403 0.8429 0.2530
0.7443 0.2557 0.0000
0.4938 0.4938 0.2278
```

Computed properties:
Mass density (g cm⁻³): 6.97
SG: No. 12
ΔE_f (eV per atom): 0.515
ΔE to the lowest computed polymorph (meV per atom): 220.1

Entry 17:
La2MnSnSe5 | PBE-GGA | relaxed

POSCAR file:
```
La2MnSnSe5
1.0
-1.8108 -3.3061 -1.9049
2.0582 -3.2193 8.3130
-11.3321 3.7528 4.2591
La Se Mn Sn
4 10 2 2
Direct
0.8700 0.7400 0.8416
0.1150 0.2301 0.6932
0.1300 0.2600 0.3416
0.8850 0.7699 0.1932
0.2891 0.5782 0.7009
0.3225 0.6450 0.3579
0.7109 0.4218 0.2009
0.6620 0.3240 0.5189
0.0021 0.0042 0.5055
0.6775 0.3550 0.8579
0.3380 0.6760 0.0189
0.5149 0.0298 0.2442
0.9979 0.9958 0.0055
0.4851 0.9702 0.7442
0.5437 0.0873 0.9220
0.4563 0.9127 0.4220
0.8183 0.6366 0.5398
0.1817 0.3634 0.0398
```

Computed properties:
Mass density (g cm⁻³): 5.90
SG: No. 36
Energy relative to the elements, uncorrected (meV per atom): -1301

Entry 18:
TaCd2Br | PBE-GGA | relaxed

POSCAR file:
```
TaCd2Br
1.0
-1.6221 7.4518 5.5689
-3.4049 5.1572 7.1405
-0.1656 5.4214 7.7303
Ta Br Cd
1 1 2
Direct
0.2500 0.2500 0.2500
0.7500 0.7500 0.7500
0.5004 0.5004 0.5004
0.9996 0.9996 0.9996
```

Computed properties:
Mass density (g cm⁻³): 9.23
SG: No. 166
Energy relative to the elements, uncorrected (meV per atom): 232
ΔE to the lowest computed polymorph (meV per atom): 219.7

Entry 19:
Nd3PuPa2N6 | PBE-GGA | relaxed

POSCAR file:
```
Nd3PuPa2N6
1.0
6.1758 -0.0001 -0.0005
-3.0865 5.3492 -0.0005
-1.0310 -1.7851 5.8549
Nd N Pa Pu
3 6 2 1
Direct
0.5000 0.5000 0.5000
0.8345 0.1655 0.5000
0.1655 0.8345 0.5000
0.9273 0.5832 0.7817
0.2719 0.2719 0.7823
0.7281 0.7281 0.2177
0.4168 0.0727 0.2183
0.5832 0.9273 0.7817
0.0727 0.4168 0.2183
0.6669 0.3331 0.0000
0.3331 0.6669 0.0000
0.0000 0.0000 0.0000
```

Computed properties:
Mass density (g cm⁻³): 10.50
SG: No. 12
Energy relative to the elements, uncorrected (meV per atom): -1500

Entry 20:
ErCdAgSn | PBE-GGA | relaxed

POSCAR file:
```
ErCdAgSn
1.0
-3.8451 0.9541 -1.7903
1.6229 -1.0026 -4.0200
-1.3806 -4.5027 0.5656
Cd Sn Ag Er
1 1 1 1
Direct
0.0000 0.0000 0.0000
0.5000 0.0000 0.5000
0.5000 0.5000 0.0000
0.0000 0.5000 0.5000
```

Computed properties:
Mass density (g cm⁻³): 9.16
SG: No. 47
ΔE_f (eV per atom): -0.357
ΔE to the lowest computed polymorph (meV per atom): 0.0